one.
Entry from Alexandria via LeMat-Bulk: crystalline Pm2AgPt at its relaxed geometry (PBE-GGA).

Cell: 5.156 5.156 5.156 Å, 60.00 60.00 60.00°
Fractional coordinates of all 4 atoms:
Pm 0.250 0.250 0.250
Pm 0.750 0.750 0.750
Ag 0.000 0.000 0.000
Pt 0.500 0.500 0.500

Values from the calculation:
Fermi-level density of states: 2.4 states/eV per cell
M_tot: 0.00 μB per atom

=====

two.
Entry from Alexandria via LeMat-Bulk: crystalline Pm2AgPt at its relaxed geometry (PBE-GGA).

Cell: 7.630 7.630 7.630 Å, 32.13 32.13 32.13°
Fractional coordinates of all 4 atoms:
Pm 0.000 0.000 0.000
Pm 0.189 0.189 0.189
Ag 0.429 0.429 0.429
Pt 0.593 0.593 0.593

Values from the calculation:
Fermi-level density of states: 2.5 states/eV per cell
M_tot: 0.00 μB per atom

=====

Which of them is the most stable, and which is the least stable? one and two, in that order.